No. 1
Material: HgSbO3
Method: DFT, PBE
State: relaxed

Computed properties:
DFT total energy: -4.666 eV/atom

Cell lengths 5.7707, 8.2073, 5.6945 Å; angles 90.00, 90.00, 90.00 degrees
Last column: nearest neighbours and their distance in Å.
Fractional coordinates of all 20 atoms:
Hg  0.0350  0.2500  0.0087  4 O 2.34-2.46
Hg  0.4650  0.7500  0.5087  4 O 2.34-2.46
Hg  0.5350  0.2500  0.4913  4 O 2.34-2.46
Hg  0.9650  0.7500  0.9913  4 O 2.34-2.46
Sb  0.0000  0.0000  0.5000  6 O 2.12-2.17
Sb  0.0000  0.5000  0.5000  6 O 2.12-2.17
Sb  0.5000  0.0000  0.0000  6 O 2.12-2.17
Sb  0.5000  0.5000  0.0000  6 O 2.12-2.17
O  0.0541  0.7500  0.3918  2 Sb 2.17, 1 Hg 2.34
O  0.2003  0.5591  0.8024  2 Sb 2.12-2.13, 1 Hg 2.34
O  0.2003  0.9409  0.8024  2 Sb 2.12-2.13, 1 Hg 2.34
O  0.2997  0.0591  0.3024  2 Sb 2.12-2.13, 1 Hg 2.34
O  0.2997  0.4409  0.3024  2 Sb 2.12-2.13, 1 Hg 2.34
O  0.4459  0.2500  0.8918  2 Sb 2.17, 1 Hg 2.34
O  0.5541  0.7500  0.1082  2 Sb 2.17, 1 Hg 2.34
O  0.7003  0.5591  0.6976  2 Sb 2.12-2.13, 1 Hg 2.34
O  0.7003  0.9409  0.6976  2 Sb 2.12-2.13, 1 Hg 2.34
O  0.7997  0.0591  0.1976  2 Sb 2.12-2.13, 1 Hg 2.34
O  0.7997  0.4409  0.1976  2 Sb 2.12-2.13, 1 Hg 2.34
O  0.9459  0.2500  0.6082  2 Sb 2.17, 1 Hg 2.34

***

No. 2
Material: Sm2GaSi
Method: DFT, PBE
State: relaxed

Computed properties:
DFT total energy: -5.194 eV/atom
Size of the total moment: 0.058 μB/atom

Cell lengths 5.9319, 4.0195, 8.6007 Å; angles 90.00, 108.02, 90.00 degrees
Last column: nearest neighbours and their distance in Å.
Fractional coordinates of all 8 atoms:
Sm  0.2064  0.2500  0.4277  3 Si 3.06-3.23, 4 Ga 3.09-3.20
Sm  0.2842  0.7500  0.0686  4 Si 3.06-3.24, 3 Ga 3.09-3.22
Sm  0.7158  0.2500  0.9314  4 Si 3.06-3.24, 3 Ga 3.09-3.22
Sm  0.7936  0.7500  0.5723  3 Si 3.06-3.23, 4 Ga 3.09-3.20
Ga  0.3608  0.7500  0.7140  2 Si 2.57
Ga  0.6392  0.2500  0.2860  2 Si 2.57
Si  0.1426  0.2500  0.7874  2 Ga 2.57
Si  0.8574  0.7500  0.2126  2 Ga 2.57

***

No. 3
Material: Nb2CdO6
Method: DFT, PBE
State: relaxed

Computed properties:
DFT total energy: -7.854 eV/atom
Size of the total moment: 0.000 μB/atom

Cell lengths 5.3013, 5.3013, 4.7258 Å; angles 90.00, 90.00, 120.00 degrees
Last column: nearest neighbours and their distance in Å.
Fractional coordinates of all 9 atoms:
Nb  0.3333  0.6667  0.0000  6 O 2.01
Nb  0.6667  0.3333  0.0000  6 O 2.01
Cd  0.0000  0.0000  0.5000  6 O 2.32
O  0.0000  0.3645  0.7710  2 Nb 2.01
O  0.0000  0.6355  0.2290  2 Nb 2.01
O  0.3645  0.0000  0.7710  2 Nb 2.01
O  0.3645  0.3645  0.2290  2 Nb 2.01
O  0.6355  0.0000  0.2290  2 Nb 2.01
O  0.6355  0.6355  0.7710  2 Nb 2.01